No. 1
Density functional theory data (PBE-GGA) for a relaxed MnI2Cl2 crystal.

a = 6.6659 Å, b = 6.6659 Å, c = 8.4517 Å
α = 90.00°, β = 90.00°, γ = 90.00°
Sites, in units of the cell vectors:
I1 0.1490 0.6490 0.5000
I2 0.8510 0.3510 0.5000
I3 0.6490 0.8510 0.5000
I4 0.3510 0.1490 0.5000
Mn1 0.5000 0.5000 0.0000
Mn2 0.0000 0.0000 0.0000
Cl1 0.1911 0.3089 0.0000
Cl2 0.6911 0.1911 0.0000
Cl3 0.3089 0.8089 0.0000
Cl4 0.8089 0.6911 0.0000

Calculated values
- final energy (eV for the cell shown) = -36.08
- energy above the most stable polymorph in this dataset (meV/atom) = 0
- E_form (uncorrected) (eV per atom) = -0.42

---

No. 2
Density functional theory data (PBE-GGA) for a relaxed Mn5I12Cl3 crystal.

a = 15.6556 Å, b = 15.6556 Å, c = 15.6556 Å
α = 109.47°, β = 109.47°, γ = 109.47°
Sites, in units of the cell vectors:
I1 0.8923 0.8235 0.5141
I2 0.6219 0.0141 0.1906
I3 0.6219 0.6077 0.9313
I4 0.4313 0.1219 0.6077
I5 0.1906 0.6765 0.0687
I6 0.3235 0.8094 0.4313
I7 0.6906 0.5687 0.1765
I8 0.5141 0.1906 0.1219
I9 0.0687 0.1765 0.1906
I10 0.5141 0.3235 0.8923
I11 0.1765 0.0687 0.6906
I12 0.6765 0.4859 0.6077
I13 0.9313 0.1077 0.6219
I14 0.1219 0.4313 0.1077
I15 0.6077 0.6219 0.4313
I16 0.1077 0.1765 0.4859
I17 0.9859 0.6077 0.1765
I18 0.1077 0.9313 0.1219
I19 0.3235 0.5141 0.3923
I20 0.5687 0.6906 0.6765
I21 0.8235 0.8923 0.0141
I22 0.4859 0.8094 0.8781
I23 0.1906 0.5141 0.6219
I24 0.4859 0.6765 0.1077
I25 0.6077 0.9859 0.6765
I26 0.1219 0.6906 0.5141
I27 0.8094 0.3235 0.9313
I28 0.3781 0.3923 0.0687
I29 0.1765 0.1077 0.9859
I30 0.0141 0.6219 0.6906
I31 0.9313 0.8235 0.8094
I32 0.4313 0.3094 0.3235
I33 0.8781 0.3094 0.4859
I34 0.3923 0.3781 0.5687
I35 0.3781 0.9859 0.8094
I36 0.6765 0.1906 0.5687
I37 0.0687 0.8923 0.3781
I38 0.3094 0.4313 0.8235
I39 0.3923 0.0141 0.3235
I40 0.3094 0.8781 0.9859
I41 0.5687 0.8781 0.3923
I42 0.8923 0.0687 0.8781
I43 0.6906 0.1219 0.0141
I44 0.8781 0.5687 0.8923
I45 0.8235 0.9313 0.3094
I46 0.0141 0.3923 0.8235
I47 0.8094 0.4859 0.3781
I48 0.9859 0.3781 0.3094
Cl1 0.3750 0.6250 0.2500
Cl2 0.1250 0.8750 0.7500
Cl3 0.8750 0.7500 0.1250
Cl4 0.6250 0.2500 0.3750
Cl5 0.6250 0.3750 0.7500
Cl6 0.7500 0.8750 0.6250
Cl7 0.2500 0.1250 0.3750
Cl8 0.8750 0.1250 0.2500
Cl9 0.7500 0.3750 0.1250
Cl10 0.1250 0.2500 0.8750
Cl11 0.3750 0.7500 0.6250
Cl12 0.2500 0.6250 0.8750
Mn1 0.5000 0.5000 0.0000
Mn2 0.3750 0.2500 0.1250
Mn3 0.2500 0.8750 0.1250
Mn4 0.2500 0.3750 0.6250
Mn5 0.7500 0.1250 0.8750
Mn6 0.5000 0.0000 0.0000
Mn7 0.0000 0.5000 0.0000
Mn8 0.0000 0.0000 0.5000
Mn9 0.1250 0.3750 0.2500
Mn10 0.0000 0.5000 0.5000
Mn11 0.8750 0.2500 0.6250
Mn12 0.1250 0.7500 0.3750
Mn13 0.5000 0.0000 0.5000
Mn14 0.3750 0.1250 0.7500
Mn15 0.6250 0.7500 0.8750
Mn16 0.6250 0.8750 0.2500
Mn17 0.0000 0.0000 0.0000
Mn18 0.8750 0.6250 0.7500
Mn19 0.7500 0.6250 0.3750
Mn20 0.5000 0.5000 0.5000

Calculated values
- final energy (eV for the cell shown) = -290.95
- E_form (uncorrected) (eV per atom) = -0.14

---

No. 3
Density functional theory data (PBE-GGA) for a relaxed Mn3ICl7 crystal.

a = 7.2037 Å, b = 7.4877 Å, c = 8.0075 Å
α = 57.48°, β = 63.27°, γ = 61.25°
Sites, in units of the cell vectors:
Cl1 0.8739 0.0118 0.7901
Cl2 0.3174 0.9975 0.3677
Cl3 0.2689 0.4999 0.4111
Cl4 0.8129 0.9715 0.4026
Cl5 0.3314 0.5355 0.8018
Cl6 0.3241 0.0118 0.7901
Cl7 0.8201 0.4999 0.4111
Mn1 0.5679 0.7579 0.5989
Mn2 0.0753 0.7579 0.5989
Mn3 0.0732 0.2539 0.5998
I1 0.8093 0.4847 0.8967

Calculated values
- final energy (eV for the cell shown) = -51.87
- E_form (uncorrected) (eV per atom) = -0.90

---

No. 4
Density functional theory data (PBE-GGA) for a relaxed MnIN2Cl crystal.

a = 3.8781 Å, b = 3.8781 Å, c = 6.6561 Å
α = 90.00°, β = 90.00°, γ = 90.00°
Sites, in units of the cell vectors:
Cl1 0.0000 0.0000 0.0000
N1 0.5000 0.0000 0.0000
N2 0.0000 0.5000 0.0000
I1 0.0000 0.0000 0.5000
Mn1 0.5000 0.5000 0.5000

Calculated values
- final energy (eV for the cell shown) = -18.64
- energy above the most stable polymorph in this dataset (meV/atom) = 1192
- E_form (uncorrected) (eV per atom) = 2.12

---

No. 5
Density functional theory data (PBE-GGA) for a relaxed MnIN2Cl crystal.

a = 3.7562 Å, b = 3.7562 Å, c = 5.6720 Å
α = 90.00°, β = 90.00°, γ = 90.00°
Sites, in units of the cell vectors:
N1 0.5000 0.0000 0.0000
N2 0.0000 0.5000 0.0000
Mn1 0.0000 0.0000 0.0000
Cl1 0.5000 0.5000 0.5000
I1 0.0000 0.0000 0.5000

Calculated values
- final energy (eV for the cell shown) = -24.60
- energy above the most stable polymorph in this dataset (meV/atom) = 0
- E_form (uncorrected) (eV per atom) = 0.92

---

No. 6
Density functional theory data (PBE-GGA) for a relaxed NaMnICl2 crystal.

a = 4.5097 Å, b = 7.6831 Å, c = 10.1838 Å
α = 106.48°, β = 90.00°, γ = 90.00°
Sites, in units of the cell vectors:
Cl1 0.7500 0.9156 0.3520
Cl2 0.2500 0.9083 0.0807
Cl3 0.7500 0.0917 0.9193
Cl4 0.2500 0.0844 0.6480
Na1 0.7500 0.2565 0.5779
Na2 0.2500 0.7435 0.4221
I1 0.2500 0.6005 0.6947
I2 0.7500 0.3995 0.3053
Mn1 0.2500 0.9536 0.8367
Mn2 0.7500 0.0464 0.1633

Calculated values
- final energy (eV for the cell shown) = -42.76
- energy above the most stable polymorph in this dataset (meV/atom) = 0
- E_form (uncorrected) (eV per atom) = -1.13

---

No. 7
Density functional theory data (PBE-GGA) for a relaxed Na2MnI2Cl2 crystal.

a = 4.3226 Å, b = 8.2728 Å, c = 7.4952 Å
α = 56.42°, β = 73.24°, γ = 74.86°
Sites, in units of the cell vectors:
I1 0.4097 0.8407 0.3399
I2 0.5903 0.1593 0.6601
Mn1 0.0000 0.0000 0.0000
Cl1 0.1526 0.6944 0.0004
Cl2 0.8474 0.3056 0.9996
Na1 0.7698 0.7168 0.7436
Na2 0.2302 0.2832 0.2564

Calculated values
- final energy (eV for the cell shown) = -26.84
- E_form (uncorrected) (eV per atom) = -1.18

---

No. 8
Density functional theory data (PBE-GGA) for a relaxed NaMnICl2 crystal.

a = 4.9224 Å, b = 4.9224 Å, c = 6.0225 Å
α = 90.00°, β = 90.00°, γ = 90.00°
Sites, in units of the cell vectors:
Cl1 0.5000 0.0000 0.0000
Cl2 0.0000 0.5000 0.0000
I1 0.0000 0.0000 0.5000
Mn1 0.0000 0.0000 0.0000
Na1 0.5000 0.5000 0.5000

Calculated values
- final energy (eV for the cell shown) = -20.90
- energy above the most stable polymorph in this dataset (meV/atom) = 96
- E_form (uncorrected) (eV per atom) = -1.03